An optimized crystal structure of LaSeCl2, computed with GGA-PBEsol.

abc: 4.3954 4.5049 4.4924
angles: 90.00 90.00 90.00
Last column: nearest neighbours and their distance in Å.
Sites, in units of the cell vectors:
Cl: 0.0000 0.0000 0.0000  4 Cl 3.14, 4 La 3.15, 4 Se 3.18
Cl: 0.5000 0.0000 0.5000  4 Cl 3.14, 4 Se 3.15, 4 La 3.18
La: 0.5000 0.5000 0.0000  4 Se 3.14, 8 Cl 3.15-3.18
Se: 0.0000 0.5000 0.5000  4 La 3.14, 8 Cl 3.15-3.18

Properties
Energy above the lowest structure with this stoichiometry (eV/f.u.): 0.13
Uncorrected formation energy (eV per atom): -1.510
Space-group type: Pmmm, No. 47

---

An optimized crystal structure of CaYCl, computed with GGA-PBEsol.

abc: 3.5539 3.5539 7.4715
angles: 97.58 97.58 116.45
Last column: nearest neighbours and their distance in Å.
Sites, in units of the cell vectors:
Ca: 0.0155 0.0155 0.0311  2 Cl 2.88
Y: 0.3180 0.3180 0.6359  2 Cl 2.88
Cl: 0.6665 0.6665 0.3330  2 Ca 2.88, 2 Y 2.88

Properties
Uncorrected formation energy (eV per atom): -0.892
Space-group type: Fmm2, No. 42

---

An optimized crystal structure of BTeI2O, computed with GGA-PBEsol.

abc: 4.4412 5.1364 5.1364
angles: 90.00 90.00 90.00
Last column: nearest neighbours and their distance in Å.
Sites, in units of the cell vectors:
Te: 0.5000 0.0000 0.0000  2 O 2.22
O: 0.0000 0.0000 0.0000  2 Te 2.22
B: 0.5000 0.5000 0.5000  8 I 3.40, 4 Te 3.63
I: 0.0000 0.5000 0.0000  2 O 2.57
I: 0.0000 0.0000 0.5000  2 O 2.57

Properties
Energy above the lowest structure with this stoichiometry (eV/f.u.): 1.38
Uncorrected formation energy (eV per atom): 1.066
Space-group type: P4/mmm, No. 123

---

An optimized crystal structure of HfGaBr2, computed with GGA-PBEsol.

abc: 3.3048 3.3048 10.1541
angles: 80.63 80.63 60.00
Last column: nearest neighbours and their distance in Å.
Sites, in units of the cell vectors:
Br: 0.8981 0.8981 0.3057  3 Hf 2.72
Br: 0.1019 0.1019 0.6943  3 Hf 2.72
Ga: 0.0000 0.0000 0.0000  2 Br 3.05, 6 Ga 3.30
Hf: 0.5000 0.5000 0.5000  6 Br 2.72

Properties
Uncorrected formation energy (eV per atom): -0.605
Space-group type: R-3m, No. 166

---

An optimized crystal structure of KZrTeN2, computed with GGA-PBEsol.

abc: 4.4076 4.4076 5.6651
angles: 90.00 90.00 90.00
Last column: nearest neighbours and their distance in Å.
Sites, in units of the cell vectors:
Te: 0.0000 0.0000 0.5000  2 Zr 2.83, 4 K 3.12
N: 0.0000 0.5000 0.0000  2 Zr 2.20
N: 0.5000 0.0000 0.0000  2 Zr 2.20
K: 0.5000 0.5000 0.5000  4 Te 3.12
Zr: 0.0000 0.0000 0.0000  4 N 2.20

Properties
Uncorrected formation energy (eV per atom): 0.079
Space-group type: P4/mmm, No. 123

---

An optimized crystal structure of LiAlCd, computed with GGA-PBEsol.

abc: 2.9572 4.6370 4.6370
angles: 120.00 90.00 90.00
Last column: nearest neighbours and their distance in Å.
Sites, in units of the cell vectors:
Cd: 0.8217 0.3333 0.6667  3 Al 2.68, 2 Cd 2.96
Li: 0.3327 0.6667 0.3333  2 Li 2.96, 6 Al 3.04-3.08, 6 Cd 3.04-3.07
Al: 0.8456 0.0000 0.0000  3 Cd 2.68, 2 Al 2.96

Properties
Energy above the lowest structure with this stoichiometry (eV/f.u.): 0.02
Space-group type: P3m1, No. 156

---

Number 1: DFT total energy -4.8135 eV/atom, volume 89.0 Å³ per cell. Number 2: DFT total energy -4.5461 eV/atom, volume 81.8 Å³ per cell. Number 3: DFT total energy -2.7990 eV/atom, volume 117.2 Å³ per cell. Number 4: DFT total energy -5.0012 eV/atom, volume 94.3 Å³ per cell. Number 5: DFT total energy -6.0813 eV/atom, volume 110.1 Å³ per cell. Number 6: DFT total energy -2.5166 eV/atom, volume 55.1 Å³ per cell.